Below is Tb2PrPbC after structural relaxation, with properties calculated at the PBE-GGA level.

## Properties
space group	No. 123
calculated total energy	-5.858	eV per atom
E_form	-0.4633	eV/atom
M_tot	0.0	μB per formula unit

a b c (Å): 5.1745 4.9644 4.9644
angles (deg): 90.00 90.00 90.00
Last column: nearest neighbours and their distance in Å.
Fractional positions:
Tb: 0.0000 0.5000 0.0000  2 C 2.48
Tb: 0.0000 0.0000 0.5000  2 C 2.48
Pb: 0.5000 0.5000 0.5000  4 Pr 3.51, 8 Tb 3.59
C: 0.0000 0.0000 0.0000  4 Tb 2.48, 2 Pr 2.59
Pr: 0.5000 0.0000 0.0000  2 C 2.59